Entry 1:
# CaMo3C (PBE-GGA, optimized geometry)
data_CaMo3C
_chemical_formula_sum 'Ca1 Mo3 C1'
_cell_length_a 4.2998
_cell_length_b 4.2998
_cell_length_c 4.2998
_cell_angle_alpha 90.00
_cell_angle_beta 90.00
_cell_angle_gamma 90.00
_space_group_name_H-M_alt 'P m -3 m'
_space_group_IT_number 221
_space_group_name_Hall '-P 4 2 3'
loop_
_atom_site_label
_atom_site_type_symbol
_atom_site_fract_x
_atom_site_fract_y
_atom_site_fract_z
Ca1 Ca 0.0000 0.0000 0.0000
Mo1 Mo 0.0000 0.5000 0.5000
C1 C 0.5000 0.5000 0.5000
# Energy of formation (eV per atom): 0.454
# Total magnetic moment (μB per formula unit): 0.00
# DOS at the Fermi energy (states/eV/f.u.): 4.1
# Calculated density (g cm⁻³): 7.10


Entry 2:
# CaAc3Cd2 (PBE-GGA, optimized geometry)
data_CaAc3Cd2
_chemical_formula_sum 'Ca4 Ac12 Cd8'
_cell_length_a 7.8290
_cell_length_b 15.9077
_cell_length_c 8.1203
_cell_angle_alpha 90.00
_cell_angle_beta 90.00
_cell_angle_gamma 90.00
_space_group_name_H-M_alt 'I b a m'
_space_group_IT_number 72
_space_group_name_Hall '-I 2 2c'
loop_
_atom_site_label
_atom_site_type_symbol
_atom_site_fract_x
_atom_site_fract_y
_atom_site_fract_z
Ca1 Ca 0.0000 0.0000 0.0000
Ac1 Ac 0.0000 0.2309 0.2500
Ac2 Ac 0.0000 0.5000 0.2500
Cd1 Cd 0.2094 0.3643 0.0000
# Energy of formation (eV per atom): 0.020
# Total magnetic moment (μB per formula unit): 0.00
# DOS at the Fermi energy (states/eV/f.u.): 9.0
# Calculated density (g cm⁻³): 6.21


Entry 3:
# HfCrGe3 (PBE-GGA, optimized geometry)
data_HfCrGe3
_chemical_formula_sum 'Hf1 Cr1 Ge3'
_cell_length_a 5.1250
_cell_length_b 5.1250
_cell_length_c 5.1250
_cell_angle_alpha 90.00
_cell_angle_beta 90.00
_cell_angle_gamma 90.00
_space_group_name_H-M_alt 'P m -3 m'
_space_group_IT_number 221
_space_group_name_Hall '-P 4 2 3'
loop_
_atom_site_label
_atom_site_type_symbol
_atom_site_fract_x
_atom_site_fract_y
_atom_site_fract_z
Hf1 Hf 0.0000 0.0000 0.0000
Cr1 Cr 0.5000 0.5000 0.5000
Ge1 Ge 0.0000 0.0000 0.5000
# Energy of formation (eV per atom): 0.784
# Total magnetic moment (μB per formula unit): 4.45
# DOS at the Fermi energy (states/eV/f.u.): 3.9
# Calculated density (g cm⁻³): 5.53


Look up the energy of formation of the first one.
0.454 eV per atom